Record 1
DFT (PBE) results for crystalline Mn2Be2Au at its relaxed geometry.

The density of states at the Fermi level comes out at 6.27 states/eV/f.u. The total magnetization comes out at 0.00 μB/cell. As for the uncorrected energy: -5.676 eV/atom. The value obtained for the formation energy from the elements is 0.138 eV/atom. The value obtained for the calculated volume is 10.87 Å³ per atom.

a = 5.9708 Å, b = 5.9708 Å, c = 3.0491 Å
α = 90.00°, β = 90.00°, γ = 90.00°
Last column: nearest neighbours and their distance in Å.
Space group P4/mbm (No. 127)
Inequivalent atoms, fractional coordinates:
Mn 0.1674 0.3326 0.0000 (multiplicity 4)  6 Be 2.32-2.34
Be 0.1218 0.6218 0.5000 (multiplicity 4)  1 Be 2.06
Au 0.0000 0.0000 0.5000 (multiplicity 2)  4 Be 2.37

***

Record 2
DFT (PBE) results for crystalline MnBe5Au6 at its relaxed geometry.

The density of states at the Fermi level comes out at 3.09 states/eV/f.u. The total magnetization comes out at 8.46 μB/cell. As for the uncorrected energy: -4.028 eV/atom. The value obtained for the formation energy from the elements is -0.073 eV/atom. The value obtained for the calculated volume is 13.74 Å³ per atom.

a = 4.2235 Å, b = 6.1723 Å, c = 12.6481 Å
α = 90.00°, β = 90.00°, γ = 90.00°
Last column: nearest neighbours and their distance in Å.
Space group Immm (No. 71)
Inequivalent atoms, fractional coordinates:
Mn 0.0000 0.0000 0.0000 (multiplicity 2)  8 Au 2.69-2.72, 4 Be 2.90
Be 0.0000 0.0000 0.3324 (multiplicity 4)  8 Au 2.55-2.58
Be 0.0000 0.5000 0.0000 (multiplicity 2)  8 Au 2.55-2.64
Be 0.0000 0.5000 0.3427 (multiplicity 4)  8 Au 2.60-2.66, 2 Mn 2.90
Au 0.0000 0.2301 0.5000 (multiplicity 4)  6 Be 2.55-2.60, 2 Mn 2.69, 1 Au 2.84
Au 0.0000 0.2610 0.1733 (multiplicity 8)  7 Be 2.58-2.66, 1 Mn 2.72, 2 Au 2.87

***

Record 3
DFT (PBE) results for crystalline Mn2BeNiAu at its relaxed geometry.

The density of states at the Fermi level comes out at 2.80 states/eV/f.u. The total magnetization comes out at 8.28 μB/cell. As for the uncorrected energy: -5.682 eV/atom. The value obtained for the formation energy from the elements is 0.543 eV/atom. The value obtained for the calculated volume is 16.10 Å³ per atom.

a = 4.5059 Å, b = 4.5059 Å, c = 3.9656 Å
α = 90.00°, β = 90.00°, γ = 90.00°
Last column: nearest neighbours and their distance in Å.
Space group P4/mmm (No. 123)
Inequivalent atoms, fractional coordinates:
Mn 0.0000 0.5000 0.0000 (multiplicity 2)  2 Ni 2.25
Be 0.0000 0.0000 0.5000 (multiplicity 1)  2 Ni 1.98
Ni 0.0000 0.0000 0.0000 (multiplicity 1)  2 Be 1.98
Au 0.5000 0.5000 0.5000 (multiplicity 1)  8 Mn 3.00, 4 Be 3.19

***

Record 4
DFT (PBE) results for crystalline Rb2MnBeAu at its relaxed geometry.

The density of states at the Fermi level comes out at 2.38 states/eV/f.u. The total magnetization comes out at 3.67 μB/cell. As for the uncorrected energy: -2.917 eV/atom. The value obtained for the formation energy from the elements is 0.705 eV/atom. The value obtained for the calculated volume is 37.55 Å³ per atom.

a = 6.4465 Å, b = 6.4465 Å, c = 4.5179 Å
α = 90.00°, β = 90.00°, γ = 90.00°
Last column: nearest neighbours and their distance in Å.
Space group P4/mmm (No. 123)
Inequivalent atoms, fractional coordinates:
Rb 0.0000 0.5000 0.0000 (multiplicity 2)  2 Be 3.22
Mn 0.0000 0.0000 0.5000 (multiplicity 1)  2 Be 2.26
Be 0.0000 0.0000 0.0000 (multiplicity 1)  2 Mn 2.26
Au 0.5000 0.5000 0.5000 (multiplicity 1)  8 Rb 3.94

***

- Which of these has the lowest calculated volume?
  Mn2Be2Au

***

- Which value of uncorrected energy does entry 4 give?
  -2.917 eV/atom